# ErPaTe2S (PBE, optimized geometry)
data_ErPaTe2S
_chemical_formula_sum 'Er2 Pa2 Te4 S2'
_symmetry_space_group_name_H-M 'P 4/n m m'
_symmetry_Int_Tables_number 129
_cell_length_a 4.298
_cell_length_b 4.298
_cell_length_c 14.838
_cell_angle_alpha 90.00
_cell_angle_beta 90.00
_cell_angle_gamma 90.00
loop_
_symmetry_equiv_pos_as_xyz
'x,y,z'
'-x,-y,-z'
'-y+1/2,x,z'
'y+1/2,-x,-z'
'-x+1/2,-y+1/2,z'
'x+1/2,y+1/2,-z'
'y,-x+1/2,z'
'-y,x+1/2,-z'
'x+1/2,-y,-z'
'-x+1/2,y,z'
'-y,-x,-z'
'y,x,z'
'-x,y+1/2,-z'
'x,-y+1/2,z'
'y+1/2,x+1/2,-z'
'-y+1/2,-x+1/2,z'
loop_
_atom_site_label
_atom_site_type_symbol
_atom_site_fract_x
_atom_site_fract_y
_atom_site_fract_z
Er1 Er 0.250 0.250 0.086
Pa1 Pa 0.250 0.250 0.615
Te1 Te 0.250 0.250 0.296
Te2 Te 0.250 0.250 0.878
S1 S 0.250 0.750 0.500
# Energy relative to the elements, uncorrected ... -6.261 eV/f.u.
# DFT total energy ... -61.462 eV per cell